# 1
Entry from the Alexandria database: a relaxed La4SmY2 crystal (PBE).

Values from the calculation:
Formation energy from the elements   0.48 eV/f.u.
Calculated volume   35.45 Å³ per atom
Magnetization   0.0000 μB per atom
E above lowest polymorph   0 meV per atom
Space-group type   Cc, No. 9

Unit cell a=12.807 b=12.807 c=6.930 alpha=96.96 beta=96.98 gamma=150.28
Atoms (fractional coordinates):
La  0.715  0.180  0.870
La  0.180  0.716  0.370
La  0.189  0.794  0.910
La  0.794  0.189  0.410
La  0.030  0.135  0.589
La  0.561  0.597  0.133
La  0.597  0.561  0.633
La  0.135  0.030  0.089
Sm  0.420  0.671  0.500
Sm  0.670  0.420  0.000
Y  0.627  0.312  0.453
Y  0.923  0.108  0.046
Y  0.108  0.923  0.546
Y  0.311  0.627  0.953

# 2
Entry from the Alexandria database: a relaxed La2SmY3 crystal (PBE).

Values from the calculation:
Formation energy from the elements   0.37 eV/f.u.
Calculated volume   34.17 Å³ per atom
Magnetization   0.0000 μB per atom
Space-group type   C2/c, No. 15

Unit cell a=6.775 b=9.150 c=6.775 alpha=82.47 beta=84.57 gamma=97.53
Atoms (fractional coordinates):
La  0.873  0.626  0.625
La  0.375  0.126  0.127
La  0.625  0.874  0.873
La  0.127  0.374  0.375
Sm  0.084  0.750  0.084
Sm  0.916  0.250  0.916
Y  0.583  0.250  0.583
Y  0.417  0.750  0.417
Y  0.166  0.000  0.669
Y  0.669  0.500  0.166
Y  0.331  0.500  0.834
Y  0.834  0.000  0.331

# 3
Entry from the Alexandria database: a relaxed LaSm5Y4 crystal (PBE).

Values from the calculation:
Formation energy from the elements   1.42 eV/f.u.
Calculated volume   33.98 Å³ per atom
Magnetization   0.0001 μB per atom
E above lowest polymorph   0 meV per atom
Space-group type   C2/m, No. 12

Unit cell a=3.500 b=6.875 c=14.342 alpha=97.10 beta=97.01 gamma=90.00
Atoms (fractional coordinates):
La  0.500  0.000  0.000
Sm  0.202  0.601  0.404
Sm  0.206  0.103  0.412
Sm  0.794  0.897  0.588
Sm  0.500  0.500  0.000
Sm  0.798  0.399  0.596
Y  0.609  0.807  0.219
Y  0.905  0.694  0.810
Y  0.391  0.193  0.781
Y  0.095  0.306  0.190

# 4
Entry from the Alexandria database: a relaxed La4SmY6 crystal (PBE).

Values from the calculation:
Formation energy from the elements   3.36 eV/f.u.
Calculated volume   36.10 Å³ per atom
Magnetization   0.0001 μB per atom
E above lowest polymorph   0 meV per atom
Space-group type   I-42m, No. 121

Unit cell a=9.793 b=9.793 c=9.793 alpha=59.07 beta=139.20 gamma=139.20
Atoms (fractional coordinates):
La  0.000  0.634  0.012
La  0.378  0.366  0.366
La  0.000  0.012  0.634
La  0.622  0.988  0.988
Sm  0.000  0.000  0.000
Y  0.000  0.794  0.444
Y  0.000  0.444  0.794
Y  0.349  0.556  0.556
Y  0.500  0.500  0.000
Y  0.651  0.206  0.206
Y  0.500  0.000  0.500

# 5
Entry from the Alexandria database: a relaxed LaSm4Y2 crystal (PBE).

Values from the calculation:
Formation energy from the elements   1.55 eV/f.u.
Calculated volume   34.72 Å³ per atom
Magnetization   0.0009 μB per atom
E above lowest polymorph   195 meV per atom
Space-group type   P2/m, No. 10

Unit cell a=3.459 b=5.887 c=12.291 alpha=103.82 beta=90.00 gamma=90.00
Atoms (fractional coordinates):
La  0.000  0.071  0.072
Sm  0.500  0.935  0.798
Sm  0.000  0.654  0.236
Sm  0.500  0.208  0.344
Sm  0.000  0.489  0.907
Y  0.500  0.358  0.644
Y  0.500  0.785  0.499

# 6
Entry from the Alexandria database: a relaxed La6SmY2 crystal (PBE).

Values from the calculation:
Formation energy from the elements   0.83 eV/f.u.
Calculated volume   35.34 Å³ per atom
Magnetization   0.0000 μB per atom
E above lowest polymorph   0 meV per atom
Space-group type   C2/m, No. 12

Unit cell a=3.722 b=10.286 c=10.286 alpha=125.20 beta=85.96 gamma=85.96
Atoms (fractional coordinates):
La  0.815  0.503  0.159
La  0.185  0.497  0.841
La  0.697  0.669  0.669
La  0.815  0.159  0.503
La  0.185  0.841  0.497
La  0.303  0.331  0.331
Sm  0.000  0.000  0.000
Y  0.500  0.839  0.161
Y  0.500  0.161  0.839

# 7
Entry from the Alexandria database: a relaxed La2Sm12Y7 crystal (PBE).

Values from the calculation:
Formation energy from the elements   0.82 eV/f.u.
Calculated volume   33.84 Å³ per atom
Magnetization   0.0000 μB per atom
Space-group type   P-6, No. 174

Unit cell a=3.572 b=15.155 c=15.155 alpha=120.00 beta=90.00 gamma=90.00
Atoms (fractional coordinates):
La  0.500  0.000  0.000
La  0.000  0.667  0.333
Sm  0.500  0.871  0.590
Sm  0.500  0.719  0.129
Sm  0.500  0.410  0.281
Sm  0.500  0.272  0.840
Sm  0.500  0.568  0.728
Sm  0.500  0.160  0.432
Sm  0.000  0.083  0.601
Sm  0.000  0.518  0.917
Sm  0.000  0.399  0.482
Sm  0.000  0.793  0.745
Sm  0.000  0.952  0.207
Sm  0.000  0.255  0.048
Y  0.000  0.333  0.667
Y  0.000  0.049  0.812
Y  0.000  0.763  0.951
Y  0.000  0.188  0.237
Y  0.500  0.619  0.521
Y  0.500  0.902  0.381
Y  0.500  0.479  0.098

# 8
Entry from the Alexandria database: a relaxed La4Sm3Y4 crystal (PBE).

Values from the calculation:
Formation energy from the elements   1.36 eV/f.u.
Calculated volume   35.49 Å³ per atom
Magnetization   0.0000 μB per atom
E above lowest polymorph   0 meV per atom
Space-group type   Immm, No. 71

Unit cell a=3.619 b=9.501 c=12.439 alpha=112.45 beta=98.36 gamma=90.00
Atoms (fractional coordinates):
La  0.645  0.475  0.289
La  0.355  0.186  0.711
La  0.355  0.525  0.711
La  0.645  0.814  0.289
Sm  0.894  0.894  0.787
Sm  0.106  0.106  0.213
Sm  0.000  0.500  0.000
Y  0.737  0.237  0.474
Y  0.263  0.763  0.526
Y  0.500  0.817  0.000
Y  0.500  0.183  0.000

# 9
Entry from the Alexandria database: a relaxed La12SmY3 crystal (PBE).

Values from the calculation:
Formation energy from the elements   0.11 eV/f.u.
Calculated volume   35.59 Å³ per atom
Magnetization   0.0000 μB per atom
Space-group type   P4/mmm, No. 123

Unit cell a=5.223 b=5.223 c=20.878 alpha=90.00 beta=90.00 gamma=90.00
Atoms (fractional coordinates):
La  0.500  0.500  0.000
La  0.500  0.500  0.250
La  0.500  0.500  0.500
La  0.500  0.500  0.750
La  0.500  0.000  0.125
La  0.500  0.000  0.375
La  0.500  0.000  0.625
La  0.500  0.000  0.875
La  0.000  0.500  0.125
La  0.000  0.500  0.375
La  0.000  0.500  0.625
La  0.000  0.500  0.875
Sm  0.000  0.000  0.000
Y  0.000  0.000  0.251
Y  0.000  0.000  0.500
Y  0.000  0.000  0.749

# 10
Entry from the Alexandria database: a relaxed La4Sm4Y crystal (PBE).

Values from the calculation:
Formation energy from the elements   0.50 eV/f.u.
Calculated volume   34.84 Å³ per atom
Magnetization   0.0000 μB per atom
E above lowest polymorph   36 meV per atom
Space-group type   P1, No. 1

Unit cell a=6.818 b=5.818 c=9.210 alpha=108.33 beta=82.41 gamma=115.28
Atoms (fractional coordinates):
La  0.331  0.719  0.055
La  0.892  0.394  0.835
La  0.216  0.387  0.503
La  0.608  0.053  0.444
Sm  0.672  0.728  0.726
Sm  0.557  0.387  0.165
Sm  0.281  0.057  0.777
Sm  0.997  0.718  0.384
Y  0.946  0.056  0.112

# 11
Entry from the Alexandria database: a relaxed La4Sm4Y crystal (PBE).

Values from the calculation:
Formation energy from the elements   0.17 eV/f.u.
Calculated volume   35.00 Å³ per atom
Magnetization   0.0000 μB per atom
E above lowest polymorph   0 meV per atom
Space-group type   I4/mmm, No. 139

Unit cell a=5.221 b=8.195 c=8.195 alpha=84.18 beta=71.42 gamma=71.42
Atoms (fractional coordinates):
La  0.668  0.664  0.000
La  0.332  0.336  0.000
La  0.668  0.000  0.664
La  0.332  0.000  0.336
Sm  0.666  0.334  0.334
Sm  0.334  0.666  0.666
Sm  0.000  0.666  0.334
Sm  0.000  0.334  0.666
Y  0.000  0.000  0.000

# 12
Entry from the Alexandria database: a relaxed La5SmY crystal (PBE).

Values from the calculation:
Formation energy from the elements   5.94 eV/f.u.
Calculated volume   46.84 Å³ per atom
Magnetization   0.0071 μB per atom
E above lowest polymorph   721 meV per atom
Space-group type   Immm, No. 71

Unit cell a=5.966 b=8.158 c=8.158 alpha=66.76 beta=68.53 gamma=68.53
Atoms (fractional coordinates):
La  0.752  0.248  0.248
La  0.000  0.320  0.680
La  0.500  0.000  0.000
La  0.000  0.680  0.320
La  0.248  0.752  0.752
Sm  0.000  0.000  0.000
Y  0.500  0.500  0.500